1.
This record from the Alexandria database describes Pr7Sm12Er after structural relaxation. The functional is PBE.

abc: 10.0176 10.0176 10.0176
angles: 109.47 109.47 109.47
Fractional coordinates of all 20 atoms:
Pr  0.0000  0.0000  0.5000
Pr  0.0000  0.5000  0.0000
Pr  0.0000  0.5000  0.5000
Pr  0.5000  0.0000  0.0000
Pr  0.5000  0.0000  0.5000
Pr  0.5000  0.5000  0.0000
Pr  0.5000  0.5000  0.5000
Sm  0.0000  0.2457  0.7543
Sm  0.0000  0.7543  0.2457
Sm  0.2457  0.0000  0.7543
Sm  0.2457  0.2457  0.4913
Sm  0.2457  0.4913  0.2457
Sm  0.2457  0.7543  0.0000
Sm  0.4913  0.2457  0.2457
Sm  0.5087  0.7543  0.7543
Sm  0.7543  0.0000  0.2457
Sm  0.7543  0.2457  0.0000
Sm  0.7543  0.5087  0.7543
Sm  0.7543  0.7543  0.5087
Er  0.0000  0.0000  0.0000

Values from the calculation:
- Energy above the most stable polymorph in this dataset: 0.381 eV/atom
- Crystal system: cubic
- Symmetry: No. 229
- Total moment: 0.000 μB/atom


2.
This record from the Alexandria database describes Pr2Sm9Er after structural relaxation. The functional is PBE.

abc: 5.1338 5.1338 15.4013
angles: 90.00 90.00 90.00
Fractional coordinates of all 12 atoms:
Pr  0.0000  0.0000  0.1682
Pr  0.0000  0.0000  0.8318
Sm  0.0000  0.5000  0.0000
Sm  0.0000  0.5000  0.3361
Sm  0.0000  0.5000  0.6639
Sm  0.5000  0.0000  0.0000
Sm  0.5000  0.0000  0.3361
Sm  0.5000  0.0000  0.6639
Sm  0.5000  0.5000  0.1683
Sm  0.5000  0.5000  0.5000
Sm  0.5000  0.5000  0.8317
Er  0.0000  0.0000  0.5000

Values from the calculation:
- Energy above the most stable polymorph in this dataset: 0.000 eV/atom
- Crystal system: tetragonal
- Symmetry: No. 123
- Total moment: 0.000 μB/atom


3.
This record from the Alexandria database describes Pr4Sm8Er after structural relaxation. The functional is PBE.

abc: 7.9107 7.9107 7.9107
angles: 90.66 90.66 90.66
Fractional coordinates of all 13 atoms:
Pr  0.0000  0.0000  0.0000
Pr  0.0000  0.5000  0.5000
Pr  0.5000  0.0000  0.5000
Pr  0.5000  0.5000  0.0000
Sm  0.2372  0.2372  0.7549
Sm  0.2372  0.7549  0.2372
Sm  0.2383  0.2383  0.2383
Sm  0.2451  0.7628  0.7628
Sm  0.7549  0.2372  0.2372
Sm  0.7617  0.7617  0.7617
Sm  0.7628  0.2451  0.7628
Sm  0.7628  0.7628  0.2451
Er  0.5000  0.5000  0.5000

Values from the calculation:
- VASP energy: -55.1 eV for the cell shown
- Crystal system: trigonal
- Symmetry: No. 166
- Total moment: 0.124 μB/atom


4.
This record from the Alexandria database describes Pr3Sm2Er3 after structural relaxation. The functional is PBE.

abc: 8.6631 8.6631 6.0807
angles: 109.54 109.54 39.25
Fractional coordinates of all 8 atoms:
Pr  0.0000  0.0000  0.0000
Pr  0.1350  0.1350  0.6958
Pr  0.8650  0.8650  0.3042
Sm  0.2504  0.2504  0.3183
Sm  0.7496  0.7496  0.6817
Er  0.3701  0.3701  0.9192
Er  0.5000  0.5000  0.5000
Er  0.6299  0.6299  0.0808

Values from the calculation:
- Energy above the most stable polymorph in this dataset: 0.072 eV/atom
- Crystal system: monoclinic
- Symmetry: No. 12
- Total moment: 0.000 μB/atom


5.
This record from the Alexandria database describes Pr7SmEr2 after structural relaxation. The functional is PBE.

abc: 9.3187 9.3187 5.7734
angles: 90.00 90.00 122.13
Fractional coordinates of all 10 atoms:
Pr  0.0000  0.0000  0.0000
Pr  0.2043  0.4354  0.0000
Pr  0.2719  0.7281  0.5000
Pr  0.4354  0.2043  0.0000
Pr  0.5646  0.7957  0.0000
Pr  0.7281  0.2719  0.5000
Pr  0.7957  0.5646  0.0000
Sm  0.5000  0.5000  0.5000
Er  0.2044  0.7956  0.0000
Er  0.7956  0.2044  0.0000

Values from the calculation:
- VASP energy: -41.0 eV for the cell shown
- Crystal system: orthorhombic
- Symmetry: No. 65
- Total moment: 0.000 μB/atom


6.
This record from the Alexandria database describes Pr6Sm3Er after structural relaxation. The functional is PBE.

abc: 11.1931 11.1931 6.5387
angles: 90.00 90.00 120.92
Fractional coordinates of all 20 atoms:
Pr  0.0342  0.9658  0.5000
Pr  0.0602  0.4782  0.0020
Pr  0.2791  0.7209  0.7113
Pr  0.2882  0.3711  0.8104
Pr  0.3711  0.2882  0.3104
Pr  0.4782  0.0602  0.5020
Pr  0.5218  0.9398  0.0020
Pr  0.6289  0.7118  0.8104
Pr  0.7118  0.6289  0.3104
Pr  0.7209  0.2791  0.2113
Pr  0.9398  0.5218  0.5020
Pr  0.9658  0.0342  0.0000
Sm  0.0561  0.2893  0.4027
Sm  0.2893  0.0561  0.9027
Sm  0.3844  0.6156  0.2841
Sm  0.6156  0.3844  0.7841
Sm  0.7107  0.9439  0.4027
Sm  0.9439  0.7107  0.9027
Er  0.1919  0.8081  0.2543
Er  0.8081  0.1919  0.7543

Values from the calculation:
- Energy above the most stable polymorph in this dataset: 0.000 eV/atom
- Crystal system: orthorhombic
- Symmetry: No. 36
- Total moment: 0.000 μB/atom


7.
This record from the Alexandria database describes PrSm6Er5 after structural relaxation. The functional is PBE.

abc: 8.0236 8.0236 10.1167
angles: 90.00 90.00 143.15
Fractional coordinates of all 12 atoms:
Pr  0.0000  0.0000  0.0000
Sm  0.1670  0.8330  0.2520
Sm  0.1670  0.8330  0.7480
Sm  0.5000  0.5000  0.2528
Sm  0.5000  0.5000  0.7472
Sm  0.8330  0.1670  0.2520
Sm  0.8330  0.1670  0.7480
Er  0.0000  0.0000  0.5000
Er  0.3317  0.6683  0.0000
Er  0.3334  0.6666  0.5000
Er  0.6666  0.3334  0.5000
Er  0.6683  0.3317  0.0000

Values from the calculation:
- VASP energy: -55.7 eV for the cell shown
- Crystal system: orthorhombic
- Symmetry: No. 65
- Total moment: 0.000 μB/atom


8.
This record from the Alexandria database describes PrSm6Er3 after structural relaxation. The functional is PBE.

abc: 11.0770 11.0770 6.2757
angles: 90.00 90.00 120.23
Fractional coordinates of all 20 atoms:
Pr  0.1973  0.8027  0.5000
Pr  0.8027  0.1973  0.0000
Sm  0.0392  0.9608  0.7298
Sm  0.0529  0.4711  0.2456
Sm  0.2806  0.7194  0.9735
Sm  0.2913  0.3745  0.0733
Sm  0.3745  0.2913  0.5733
Sm  0.4711  0.0529  0.7456
Sm  0.5289  0.9471  0.2456
Sm  0.6255  0.7087  0.0733
Sm  0.7087  0.6255  0.5733
Sm  0.7194  0.2806  0.4735
Sm  0.9471  0.5289  0.7456
Sm  0.9608  0.0392  0.2298
Er  0.0592  0.2867  0.6547
Er  0.2867  0.0592  0.1547
Er  0.3853  0.6147  0.5341
Er  0.6147  0.3853  0.0341
Er  0.7133  0.9408  0.6547
Er  0.9408  0.7133  0.1547

Values from the calculation:
- Energy above the most stable polymorph in this dataset: 0.022 eV/atom
- Crystal system: orthorhombic
- Symmetry: No. 36
- Total moment: 0.000 μB/atom


9.
This record from the Alexandria database describes Pr4Sm2Er5 after structural relaxation. The functional is PBE.

abc: 12.5648 12.5648 12.5648
angles: 163.86 136.72 46.48
Fractional coordinates of all 11 atoms:
Pr  0.0962  0.0962  0.0000
Pr  0.2077  0.5000  0.7077
Pr  0.7923  0.5000  0.2923
Pr  0.9038  0.9038  0.0000
Sm  0.2307  0.2307  0.0000
Sm  0.7693  0.7693  0.0000
Er  0.1592  0.3544  0.8048
Er  0.4503  0.6456  0.8048
Er  0.5000  0.0000  0.5000
Er  0.5497  0.3544  0.1952
Er  0.8408  0.6456  0.1952

Values from the calculation:
- Energy above the most stable polymorph in this dataset: 0.175 eV/atom
- Crystal system: orthorhombic
- Symmetry: No. 71
- Total moment: 0.000 μB/atom


10.
This record from the Alexandria database describes Pr6Sm12Er after structural relaxation. The functional is PBE.

abc: 8.8633 8.8633 8.8633
angles: 78.93 78.93 78.93
Fractional coordinates of all 19 atoms:
Pr  0.2679  0.2679  0.6605
Pr  0.2679  0.6605  0.2679
Pr  0.3395  0.7321  0.7321
Pr  0.6605  0.2679  0.2679
Pr  0.7321  0.3395  0.7321
Pr  0.7321  0.7321  0.3395
Sm  0.0083  0.3640  0.3640
Sm  0.0146  0.0147  0.6976
Sm  0.0146  0.6976  0.0146
Sm  0.3024  0.9853  0.9854
Sm  0.3640  0.0083  0.3640
Sm  0.3640  0.3640  0.0083
Sm  0.6360  0.6360  0.9917
Sm  0.6360  0.9917  0.6360
Sm  0.6976  0.0146  0.0147
Sm  0.9853  0.3024  0.9853
Sm  0.9853  0.9853  0.3024
Sm  0.9917  0.6360  0.6360
Er  0.5000  0.5000  0.5000

Values from the calculation:
- Energy above the most stable polymorph in this dataset: 0.000 eV/atom
- Crystal system: trigonal
- Symmetry: No. 166
- Total moment: 0.000 μB/atom


11.
This record from the Alexandria database describes Pr2Sm3Er8 after structural relaxation. The functional is PBE.

abc: 8.6191 8.6191 6.7814
angles: 98.11 98.11 63.81
Fractional coordinates of all 13 atoms:
Pr  0.2188  0.2188  0.3020
Pr  0.7812  0.7812  0.6980
Sm  0.0000  0.0000  0.0000
Sm  0.1729  0.8271  0.5000
Sm  0.8271  0.1729  0.5000
Er  0.2011  0.2011  0.7923
Er  0.2066  0.5677  0.0615
Er  0.4209  0.4209  0.6427
Er  0.4323  0.7934  0.9385
Er  0.5677  0.2066  0.0615
Er  0.5791  0.5791  0.3573
Er  0.7934  0.4323  0.9385
Er  0.7989  0.7989  0.2077

Values from the calculation:
- Energy above the most stable polymorph in this dataset: 0.000 eV/atom
- Crystal system: monoclinic
- Symmetry: No. 12
- Total moment: 0.000 μB/atom


12.
This record from the Alexandria database describes Pr5SmEr2 after structural relaxation. The functional is PBE.

abc: 9.1758 9.1758 9.1758
angles: 118.67 118.67 92.31
Fractional coordinates of all 16 atoms:
Pr  0.0000  0.0000  0.0000
Pr  0.0142  0.5142  0.2022
Pr  0.1880  0.9858  0.5000
Pr  0.3120  0.8120  0.7978
Pr  0.4858  0.6880  0.5000
Pr  0.5000  0.5000  0.0000
Pr  0.5142  0.3120  0.5000
Pr  0.6880  0.1880  0.2022
Pr  0.8120  0.0142  0.5000
Pr  0.9858  0.4858  0.7978
Sm  0.2500  0.2500  0.0000
Sm  0.7500  0.7500  0.0000
Er  0.1471  0.3529  0.5000
Er  0.3529  0.8529  0.2057
Er  0.6471  0.1471  0.7943
Er  0.8529  0.6471  0.5000

Values from the calculation:
- Energy above the most stable polymorph in this dataset: 0.000 eV/atom
- Crystal system: tetragonal
- Symmetry: No. 140
- Total moment: 0.000 μB/atom